(1)
Material: ZrCd4Ru
Method: DFT, GGA-PBE
State: optimized geometry

Lattice parameters (Å, degrees): 7.7818 7.7818 7.7818 90.00 90.00 90.00
Last column: nearest neighbours and their distance in Å.
Space group F-43m (No. 216)
Inequivalent atoms, fractional coordinates:
Zr: 0.0000 0.0000 0.0000  12 Cd 3.23, 4 Ru 3.37
Cd: 0.1246 0.1246 0.6246  6 Cd 2.74-2.76
Ru: 0.2500 0.2500 0.2500  12 Cd 3.23, 4 Zr 3.37

Output
ΔE_f (eV per atom): 0.177
V (Å³ per cell): 471.23
E (eV per atom): -3.40
Crystal system: cubic



(2)
Material: BOsCl2
Method: DFT, GGA-PBE
State: optimized geometry

Lattice parameters (Å, degrees): 3.0411 3.0411 21.9820 90.00 90.00 120.00
Last column: nearest neighbours and their distance in Å.
Space group R-3m (No. 166, hexagonal axes)
Inequivalent atoms, fractional coordinates:
B: 0.0000 0.0000 0.0000  6 Cl 2.25
Os: 0.0000 0.0000 0.5000  2 Cl 2.26
Cl: 0.0000 0.0000 0.3973  3 B 2.25, 1 Os 2.26

Output
V (Å³ per cell): 176.06
E (eV per atom): -4.10
Energy above the lowest structure with this stoichiometry (eV per atom): 0.784
DOS(E_F) (states/eV/atom): 1.05
Crystal system: trigonal
E_form (uncorrected) (eV per atom): 1.301



Asked for total magnetic moment across the records above, the calculation gives 0.00, 0.00 μB per formula unit in order.